Run a
This record from Alexandria describes a relaxed structure of ScMnPb. The functional is PBE.

Summary:
The density of states at the Fermi level comes out at 0.77 states/eV/atom. The value obtained for the mass density is 7.71 g/cm3. Its space-group type is P3m1, No. 156. Its total moment is 2.8 μB/cell.

Unit cell a=3.2894 b=3.2894 c=7.0568 alpha=90.00 beta=90.00 gamma=120.00
With the nearest neighbours (Å) after each atom.
Element x y z (fractional)
1 Mn 0.0000 0.0000 0.9886  3 Sc 2.83, 3 Pb 3.01
2 Pb 0.3333 0.6667 0.3198  3 Mn 3.01, 3 Sc 3.24, 6 Pb 3.29
3 Sc 0.6667 0.3333 0.6916  3 Mn 2.83

---

Run b
This record from Alexandria describes a relaxed structure of ScMnPb. The functional is PBE.

Summary:
The density of states at the Fermi level comes out at 1.07 states/eV/atom. The value obtained for the mass density is 6.55 g/cm3. Its space-group type is F-43m, No. 216. Its total moment is 4.4 μB/cell.

Unit cell a=4.7929 b=4.7929 c=4.7929 alpha=60.00 beta=60.00 gamma=60.00
With the nearest neighbours (Å) after each atom.
Element x y z (fractional)
1 Mn 0.0000 0.0000 0.0000  4 Sc 2.94
2 Pb 0.5000 0.5000 0.5000  4 Sc 2.94
3 Sc 0.7500 0.7500 0.7500  4 Mn 2.94, 4 Pb 2.94

---

Relative energy of each structure, in meV per atom: run a 0; run b 294.

---

Run a
This record from Alexandria describes a relaxed structure of Mn2PbSe. The functional is PBE.

Summary:
The density of states at the Fermi level comes out at 0.72 states/eV/atom. The value obtained for the mass density is 7.25 g/cm3. Its space-group type is Pmmm, No. 47. Its total moment is 7.6 μB/cell.

Unit cell a=3.4896 b=4.0600 c=6.4014 alpha=90.04 beta=90.00 gamma=90.00
With the nearest neighbours (Å) after each atom.
Element x y z (fractional)
1 Mn 0.0000 0.7496 0.0308  2 Se 2.50
2 Mn 0.0000 0.7504 0.4692  2 Se 2.50
3 Pb 0.5000 0.2500 0.2500  8 Mn 3.02
4 Se 0.5000 0.7500 0.7500  4 Mn 2.50

---

Run b
This record from Alexandria describes a relaxed structure of Mn2PbSe. The functional is PBE.

Summary:
The density of states at the Fermi level comes out at 0.48 states/eV/atom. The value obtained for the mass density is 8.09 g/cm3. Its space-group type is Imm2, No. 44. Its total moment is 7.2 μB/cell.

Unit cell a=7.1140 b=7.1140 c=7.1140 alpha=150.83 beta=152.33 gamma=40.64
With the nearest neighbours (Å) after each atom.
Element x y z (fractional)
1 Mn 0.0764 0.0764 0.0000  2 Se 2.53
2 Mn 0.7644 0.2644 0.5000  4 Se 2.57
3 Pb 0.4493 0.4493 0.0000  6 Mn 3.00
4 Se 0.2100 0.7100 0.5000  6 Mn 2.53-2.57

---

Run c
This record from Alexandria describes a relaxed structure of Mn2PbSe. The functional is PBE.

Summary:
The density of states at the Fermi level comes out at 0.70 states/eV/atom. The value obtained for the mass density is 7.97 g/cm3. Its space-group type is Immm, No. 71. Its total moment is 7.7 μB/cell.

Unit cell a=5.2707 b=5.2707 c=5.2707 alpha=140.30 beta=115.01 gamma=78.92
With the nearest neighbours (Å) after each atom.
Element x y z (fractional)
1 Mn 0.0276 0.0276 0.0000  2 Se 2.55
2 Mn 0.4724 0.4724 0.0000  2 Se 2.55
3 Pb 0.7500 0.2500 0.5000  4 Mn 2.88
4 Se 0.2500 0.7500 0.5000  4 Mn 2.55

---

Run d
This record from Alexandria describes a relaxed structure of Mn2PbSe. The functional is PBE.

Summary:
The density of states at the Fermi level comes out at 0.51 states/eV/atom. The value obtained for the mass density is 8.26 g/cm3. Its space-group type is Cmmm, No. 65. Its total moment is 7.9 μB/cell.

Unit cell a=4.7279 b=4.7279 c=3.6277 alpha=90.00 beta=90.00 gamma=101.08
With the nearest neighbours (Å) after each atom.
Element x y z (fractional)
1 Mn 0.0000 0.0000 0.0000  4 Pb 2.98, 4 Se 2.98, 2 Mn 3.00
2 Mn 0.5000 0.5000 0.0000  4 Se 2.98, 4 Pb 2.98, 2 Mn 3.00
3 Pb 0.5000 0.0000 0.5000  8 Mn 2.98, 2 Se 3.00
4 Se 0.0000 0.5000 0.5000  8 Mn 2.98, 2 Pb 3.00

---

Relative energy of each structure, in meV per atom: run a 66; run b 0; run c 138; run d 198.

---

Run a
This record from Alexandria describes a relaxed structure of Mn2PbSe. The functional is PBE.

Summary:
The density of states at the Fermi level comes out at 0.50 states/eV/atom. The value obtained for the mass density is 7.90 g/cm3. Its space-group type is I-4m2, No. 119. Its total moment is 8.3 μB/cell.

Unit cell a=6.0230 b=6.0230 c=6.0230 alpha=141.71 beta=141.71 gamma=55.26
With the nearest neighbours (Å) after each atom.
Element x y z (fractional)
1 Mn 0.0000 0.0000 0.0000  4 Pb 2.79
2 Mn 0.2500 0.7500 0.5000  4 Se 2.79
3 Pb 0.5000 0.5000 0.0000  4 Mn 2.79
4 Se 0.7500 0.2500 0.5000  4 Mn 2.79

---

Run b
This record from Alexandria describes a relaxed structure of Mn2PbSe. The functional is PBE.

Summary:
The density of states at the Fermi level comes out at 0.41 states/eV/atom. The value obtained for the mass density is 7.32 g/cm3. Its space-group type is Cm, No. 8. Its total moment is 0.1 μB/cell.

Unit cell a=4.3907 b=4.3907 c=6.7590 alpha=77.46 beta=77.46 gamma=45.19
With the nearest neighbours (Å) after each atom.
Element x y z (fractional)
1 Mn 0.9992 0.9992 0.9628  3 Mn 2.50, 3 Se 2.56-2.60
2 Mn 0.7288 0.7288 0.8444  3 Mn 2.50, 2 Se 2.55
3 Pb 0.5064 0.5064 0.5788  5 Mn 2.83-3.08
4 Se 0.2655 0.2655 0.1139  5 Mn 2.55-2.60

---

Relative energy of each structure, in meV per atom: run a 212; run b 0.

---

Run a
This record from Alexandria describes a relaxed structure of MnSiPb. The functional is PBE.

Summary:
The density of states at the Fermi level comes out at 0.81 states/eV/atom. The value obtained for the mass density is 7.81 g/cm3. Its space-group type is P-6m2, No. 187. Its total moment is 2.9 μB/cell.

Unit cell a=4.1506 b=4.1506 c=4.1364 alpha=90.00 beta=90.00 gamma=120.00
With the nearest neighbours (Å) after each atom.
Element x y z (fractional)
1 Mn 0.0000 0.0000 0.8339  3 Si 2.40
2 Pb 0.6667 0.3333 0.3332  6 Mn 3.16-3.17, 6 Si 3.16-3.17
3 Si 0.3333 0.6667 0.8329  3 Mn 2.40

---

Run b
This record from Alexandria describes a relaxed structure of MnSiPb. The functional is PBE.

Summary:
The density of states at the Fermi level comes out at 0.54 states/eV/atom. The value obtained for the mass density is 8.25 g/cm3. Its space-group type is I4mm, No. 107. Its total moment is 2.7 μB/cell.

Unit cell a=5.8652 b=5.8652 c=5.8652 alpha=147.38 beta=147.38 gamma=46.79
With the nearest neighbours (Å) after each atom.
Element x y z (fractional)
1 Mn 0.0474 0.0474 0.0000  4 Si 2.44
2 Pb 0.3380 0.3380 0.0000  1 Si 2.98, 5 Mn 3.13-3.24, 4 Pb 3.29
3 Si 0.6147 0.6147 0.0000  4 Mn 2.44

---

Relative energy of each structure, in meV per atom: run a 104; run b 0.

---

Run a
This record from Alexandria describes a relaxed structure of MnSiPb. The functional is PBE.

Summary:
The density of states at the Fermi level comes out at 0.65 states/eV/atom. The value obtained for the mass density is 8.74 g/cm3. Its space-group type is P3m1, No. 156. Its total moment is 1.4 μB/cell.

Unit cell a=3.2048 b=3.2048 c=6.1985 alpha=90.00 beta=90.00 gamma=120.00
With the nearest neighbours (Å) after each atom.
Element x y z (fractional)
1 Mn 0.0000 0.0000 0.9590  3 Si 2.34
2 Pb 0.6667 0.3333 0.3130  3 Mn 2.87, 3 Si 3.17, 6 Pb 3.20
3 Si 0.3333 0.6667 0.7280  3 Mn 2.34

---

Run b
This record from Alexandria describes a relaxed structure of MnSiPb. The functional is PBE.

Summary:
The density of states at the Fermi level comes out at 1.01 states/eV/atom. The value obtained for the mass density is 7.87 g/cm3. Its space-group type is F-43m, No. 216. Its total moment is 2.8 μB/cell.

Unit cell a=4.4249 b=4.4249 c=4.4249 alpha=60.00 beta=60.00 gamma=60.00
With the nearest neighbours (Å) after each atom.
Element x y z (fractional)
1 Mn 0.7500 0.7500 0.7500  4 Si 2.71, 4 Pb 2.71
2 Pb 0.0000 0.0000 0.0000  4 Mn 2.71
3 Si 0.5000 0.5000 0.5000  4 Mn 2.71

---

Relative energy of each structure, in meV per atom: run a 0; run b 37.

---

Run a
This record from Alexandria describes a relaxed structure of MnSiPb3. The functional is PBE.

Summary:
The density of states at the Fermi level comes out at 0.48 states/eV/atom. The value obtained for the mass density is 8.36 g/cm3. Its space-group type is Pm-3m, No. 221. Its total moment is 3.0 μB/cell.

Unit cell a=5.1925 b=5.1925 c=5.1925 alpha=90.00 beta=90.00 gamma=90.00
With the nearest neighbours (Å) after each atom.
Element x y z (fractional)
1 Pb 0.0000 0.5000 0.0000  2 Mn 2.60
2 Pb 0.0000 0.0000 0.5000  2 Mn 2.60
3 Pb 0.5000 0.0000 0.0000  2 Mn 2.60
4 Si 0.5000 0.5000 0.5000  12 Pb 3.67
5 Mn 0.0000 0.0000 0.0000  6 Pb 2.60

---

Run b
This record from Alexandria describes a relaxed structure of MnSiPb3. The functional is PBE.

Summary:
The density of states at the Fermi level comes out at 1.55 states/eV/atom. The value obtained for the mass density is 7.77 g/cm3. Its space-group type is Pm-3m, No. 221. Its total moment is 0.6 μB/cell.

Unit cell a=5.3193 b=5.3193 c=5.3193 alpha=90.00 beta=90.00 gamma=90.00
With the nearest neighbours (Å) after each atom.
Element x y z (fractional)
1 Pb 0.0000 0.5000 0.0000  2 Si 2.66
2 Pb 0.0000 0.0000 0.5000  2 Si 2.66
3 Pb 0.5000 0.0000 0.0000  2 Si 2.66
4 Si 0.0000 0.0000 0.0000  6 Pb 2.66
5 Mn 0.5000 0.5000 0.5000  12 Pb 3.76

---

Relative energy of each structure, in meV per atom: run a 0; run b 712.